Computed, not measured: a geometry-optimized Ba12Sr17 structure at the PBE-GGA level of DFT.

## Properties
Raw total energy = -0.0631 hartree per atom
Formation enthalpy at 0 K = 65 meV/atom
V = 1693.6 Å³ per cell
Magnetization = 0.1213 μB/atom

Lattice parameters (Å, degrees): 13.0061 13.0061 13.0061 109.47 109.47 109.47
With the nearest neighbours (Å) after each atom.
Positions (direct):
Ba 0.0000 0.6204 0.8090  3 Ba 4.00-4.06, 5 Sr 4.03-4.34
Ba 0.0000 0.8090 0.6204  3 Ba 4.00-4.06, 5 Sr 4.03-4.34
Ba 0.1885 0.3796 0.3796  3 Ba 4.00-4.06, 5 Sr 4.03-4.34
Ba 0.1910 0.1910 0.8115  3 Ba 4.00-4.06, 5 Sr 4.03-4.34
Ba 0.1910 0.8115 0.1910  3 Ba 4.00-4.06, 5 Sr 4.03-4.34
Ba 0.3796 0.1885 0.3796  3 Ba 4.00-4.06, 5 Sr 4.03-4.34
Ba 0.3796 0.3796 0.1885  3 Ba 4.00-4.06, 5 Sr 4.03-4.34
Ba 0.6204 0.0000 0.8090  3 Ba 4.00-4.06, 5 Sr 4.03-4.34
Ba 0.6204 0.8090 0.0000  3 Ba 4.00-4.06, 5 Sr 4.03-4.34
Ba 0.8090 0.0000 0.6204  3 Ba 4.00-4.06, 5 Sr 4.03-4.34
Ba 0.8090 0.6204 0.0000  3 Ba 4.00-4.06, 5 Sr 4.03-4.34
Ba 0.8115 0.1910 0.1910  3 Ba 4.00-4.06, 5 Sr 4.03-4.34
Sr 0.0000 0.0000 0.0000  4 Sr 4.72, 12 Ba 4.73
Sr 0.0000 0.0000 0.3632  3 Sr 4.19, 6 Ba 4.62
Sr 0.0000 0.3163 0.5899  5 Ba 4.03-4.34, 3 Sr 4.19-4.34
Sr 0.0000 0.3632 0.0000  3 Sr 4.19, 6 Ba 4.62
Sr 0.0000 0.5899 0.3163  5 Ba 4.03-4.34, 3 Sr 4.19-4.34
Sr 0.2736 0.6837 0.6837  5 Ba 4.03-4.34, 3 Sr 4.19-4.34
Sr 0.3163 0.0000 0.5899  5 Ba 4.03-4.34, 3 Sr 4.19-4.34
Sr 0.3163 0.5899 0.0000  5 Ba 4.03-4.34, 3 Sr 4.19-4.34
Sr 0.3632 0.0000 0.0000  3 Sr 4.19, 6 Ba 4.62
Sr 0.4101 0.4101 0.7264  5 Ba 4.03-4.34, 3 Sr 4.19-4.34
Sr 0.4101 0.7264 0.4101  5 Ba 4.03-4.34, 3 Sr 4.19-4.34
Sr 0.5899 0.0000 0.3163  5 Ba 4.03-4.34, 3 Sr 4.19-4.34
Sr 0.5899 0.3163 0.0000  5 Ba 4.03-4.34, 3 Sr 4.19-4.34
Sr 0.6368 0.6368 0.6368  3 Sr 4.19, 6 Ba 4.62
Sr 0.6837 0.2736 0.6837  5 Ba 4.03-4.34, 3 Sr 4.19-4.34
Sr 0.6837 0.6837 0.2736  5 Ba 4.03-4.34, 3 Sr 4.19-4.34
Sr 0.7264 0.4101 0.4101  5 Ba 4.03-4.34, 3 Sr 4.19-4.34